# 1
A plane-wave DFT calculation with PBE was carried out for CdSe3 after structural relaxation.

## Properties
- DOS at the Fermi energy: 0.88 states/eV/f.u.
- Symmetry: Pmm2
- Magnetic moment: 0.0 μB per formula unit
- E_tot: -11.40 eV/cell
- Formation energy without anion corrections: -0.008 eV/atom

Unit cell a=3.6959 b=3.7216 c=8.0799 alpha=90.00 beta=90.00 gamma=90.00
With the nearest neighbours (Å) after each atom.
Atoms (fractional coordinates):
Se: 0.0000 0.5000 0.3979  4 Se 2.70
Se: 0.5000 0.0000 0.4790  4 Se 2.70
Se: 0.5000 0.5000 0.9386  4 Cd 2.72
Cd: 0.0000 0.0000 0.8512  4 Se 2.72

***

# 2
A plane-wave DFT calculation with PBE was carried out for BaZr2Rh after structural relaxation.

## Properties
- Polymorph energy (0 for the lowest one): 515 meV/atom
- DOS at the Fermi energy: 4.66 states/eV/f.u.
- Symmetry: P4/mmm
- Magnetic moment: 0.0 μB per formula unit
- E_tot: -24.69 eV/cell

Unit cell a=5.3824 b=4.2715 c=4.2715 alpha=90.00 beta=90.00 gamma=90.00
With the nearest neighbours (Å) after each atom.
Atoms (fractional coordinates):
Zr: 0.0000 0.0000 0.0000  4 Zr 3.02
Zr: 0.0000 0.5000 0.5000  4 Zr 3.02
Ba: 0.5000 0.5000 0.0000  4 Rh 3.02
Rh: 0.5000 0.0000 0.5000  4 Ba 3.02

***

# 3
A plane-wave DFT calculation with PBE was carried out for ScB3H12 after structural relaxation.

## Properties
- DOS at the Fermi energy: 0.00 states/eV/f.u.
- Symmetry: R-3c
- Magnetic moment: 0.0 μB per formula unit
- E_tot: -141.50 eV/cell

Unit cell a=7.3309 b=7.3309 c=7.3407 alpha=60.04 beta=60.04 gamma=60.00
With the nearest neighbours (Å) after each atom.
Atoms (fractional coordinates):
H: 0.2983 0.6698 0.1681  1 B 1.23
H: 0.4983 0.6677 0.5366  1 B 1.23
H: 0.6677 0.2974 0.5366  1 B 1.23
H: 0.8658 0.4943 0.3398  1 B 1.23
H: 0.8002 0.9943 0.8398  1 B 1.23
H: 0.8666 0.6658 0.9712  1 B 1.23
H: 0.3666 0.9964 0.4712  1 B 1.23
H: 0.8638 0.2983 0.1681  1 B 1.23
H: 0.3638 0.1698 0.6681  1 B 1.23
H: 0.3658 0.8002 0.8398  1 B 1.23
H: 0.3002 0.8658 0.3398  1 B 1.23
H: 0.6698 0.8638 0.1681  1 B 1.23
H: 0.7983 0.3638 0.6681  1 B 1.23
H: 0.9964 0.1658 0.4712  1 B 1.23
H: 0.4943 0.3002 0.3398  1 B 1.23
H: 0.1658 0.3666 0.4712  1 B 1.23
H: 0.6658 0.4964 0.9712  1 B 1.23
H: 0.7974 0.1677 0.0366  1 B 1.23
H: 0.2974 0.4983 0.5366  1 B 1.23
H: 0.4964 0.8666 0.9712  1 B 1.23
H: 0.1698 0.7983 0.6681  1 B 1.23
H: 0.9983 0.7974 0.0366  1 B 1.23
H: 0.1677 0.9983 0.0366  1 B 1.23
H: 0.9943 0.3658 0.8398  1 B 1.23
B: 0.8303 0.3320 0.0039  4 H 1.23
B: 0.3338 0.8320 0.5039  4 H 1.23
B: 0.3303 0.3338 0.5039  4 H 1.23
B: 0.8338 0.8303 0.0039  4 H 1.23
B: 0.8320 0.3303 0.5039  4 H 1.23
B: 0.3320 0.8338 0.0039  4 H 1.23
Sc: 0.5820 0.5820 0.2539  12 H 2.17
Sc: 0.0820 0.0820 0.7539  12 H 2.17

***

# 4
A plane-wave DFT calculation with PBE was carried out for NaY4In5 after structural relaxation.

## Properties
- DOS at the Fermi energy: 5.15 states/eV/f.u.
- Symmetry: P4/mmm
- Magnetic moment: 0.0 μB per formula unit
- E_tot: -44.96 eV/cell

Unit cell a=3.7457 b=3.7457 c=19.0579 alpha=90.00 beta=90.00 gamma=90.00
With the nearest neighbours (Å) after each atom.
Atoms (fractional coordinates):
In: 0.5000 0.5000 0.8991  4 Y 3.23, 4 Na 3.27
In: 0.5000 0.5000 0.5000  8 Y 3.27
In: 0.5000 0.5000 0.1009  4 Y 3.23, 4 Na 3.27
In: 0.5000 0.5000 0.3000  8 Y 3.26-3.29
In: 0.5000 0.5000 0.7000  8 Y 3.26-3.29
Y: 0.0000 0.0000 0.3998  8 In 3.26-3.27
Y: 0.0000 0.0000 0.1976  8 In 3.23-3.29
Y: 0.0000 0.0000 0.8024  8 In 3.23-3.29
Y: 0.0000 0.0000 0.6002  8 In 3.26-3.27
Na: 0.0000 0.0000 0.0000  8 In 3.27

***

# 5
A plane-wave DFT calculation with PBE was carried out for K4Ac3LaTe8 after structural relaxation.

## Properties
- DOS at the Fermi energy: 0.00 states/eV/f.u.
- Symmetry: R-3m
- Magnetic moment: 0.0 μB per formula unit
- E_tot: -70.71 eV/cell
- Formation energy without anion corrections: -1.496 eV/atom

Unit cell a=9.6302 b=9.9591 c=9.6314 alpha=118.91 beta=120.00 gamma=90.00
With the nearest neighbours (Å) after each atom.
Atoms (fractional coordinates):
Te: 0.2367 0.7199 0.4734  1 La 3.28, 2 Ac 3.34, 3 K 3.60-3.66
Te: 0.7633 0.2801 0.5266  1 La 3.28, 2 Ac 3.34, 3 K 3.60-3.66
Te: 0.2585 0.2756 0.5171  3 Ac 3.34, 3 K 3.59
Te: 0.2535 0.2801 0.0167  1 La 3.28, 2 Ac 3.34-3.35, 3 K 3.60-3.66
Te: 0.2367 0.7199 0.9833  1 La 3.28, 2 Ac 3.34-3.35, 3 K 3.60-3.66
Te: 0.7415 0.7244 0.4829  3 Ac 3.34, 3 K 3.59
Te: 0.7633 0.2801 0.0167  1 La 3.28, 2 Ac 3.34-3.35, 3 K 3.60-3.66
Te: 0.7465 0.7199 0.9833  1 La 3.28, 2 Ac 3.34-3.35, 3 K 3.60-3.66
Ac: 0.0000 0.5000 0.5000  6 Te 3.34-3.35
Ac: 0.5000 0.5000 0.0000  6 Te 3.34
Ac: 0.5000 0.5000 0.5000  6 Te 3.34-3.35
K: 0.5000 0.0000 0.5000  6 Te 3.59-3.60
K: 0.5000 0.0000 0.0000  6 Te 3.66
K: 0.0000 0.0000 0.0000  6 Te 3.59-3.60
K: 0.0000 0.0000 0.5000  6 Te 3.59-3.60
La: 0.0000 0.5000 0.0000  6 Te 3.28

***

# 6
A plane-wave DFT calculation with PBE was carried out for Rb2Pa2MnTe6 after structural relaxation.

## Properties
- DOS at the Fermi energy: 10.58 states/eV/f.u.
- Symmetry: C2/m
- Magnetic moment: 7.1 μB per formula unit
- E_tot: -57.62 eV/cell
- Formation energy without anion corrections: -0.789 eV/atom

Unit cell a=7.5352 b=7.5352 c=9.2220 alpha=98.06 beta=98.06 gamma=119.81
With the nearest neighbours (Å) after each atom.
Atoms (fractional coordinates):
Pa: 0.3328 0.6672 0.5000  6 Te 3.08-3.09
Pa: 0.6672 0.3328 0.5000  6 Te 3.08-3.09
Rb: 0.8308 0.1692 0.0000  6 Te 3.68-3.72
Rb: 0.1692 0.8308 0.0000  6 Te 3.68-3.72
Te: 0.3884 0.0688 0.6948  1 Mn 2.97, 2 Pa 3.08-3.09
Te: 0.6116 0.9312 0.3052  1 Mn 2.97, 2 Pa 3.08-3.09
Te: 0.0688 0.3884 0.6948  1 Mn 2.97, 2 Pa 3.08-3.09
Te: 0.9312 0.6116 0.3052  1 Mn 2.97, 2 Pa 3.08-3.09
Te: 0.7446 0.7446 0.6932  1 Mn 2.97, 2 Pa 3.08
Te: 0.2554 0.2554 0.3068  1 Mn 2.97, 2 Pa 3.08
Mn: 0.0000 0.0000 0.5000  6 Te 2.97

***

# 7
A plane-wave DFT calculation with PBE was carried out for DyAlHg after structural relaxation.

## Properties
- Polymorph energy (0 for the lowest one): 206 meV/atom
- DOS at the Fermi energy: 2.12 states/eV/f.u.
- Symmetry: I4mm
- Magnetic moment: 0.2 μB per formula unit
- E_tot: -9.42 eV/cell

Unit cell a=3.4474 b=3.4474 c=6.2304 alpha=106.06 beta=106.06 gamma=90.00
With the nearest neighbours (Å) after each atom.
Atoms (fractional coordinates):
Hg: 0.9355 0.9355 0.8710  4 Al 2.93, 4 Dy 3.23
Al: 0.2942 0.2942 0.5885  4 Hg 2.93, 4 Dy 3.15
Dy: 0.6203 0.6203 0.2405  4 Al 3.15, 4 Hg 3.23, 4 Dy 3.45

***

# 8
A plane-wave DFT calculation with PBE was carried out for TeAs2Pd7 after structural relaxation.

## Properties
- Polymorph energy (0 for the lowest one): 0 meV/atom
- DOS at the Fermi energy: 5.13 states/eV/f.u.
- Symmetry: I4/mmm
- Magnetic moment: 0.0 μB per formula unit
- E_tot: -52.01 eV/cell
- Formation energy without anion corrections: -0.322 eV/atom

Unit cell a=4.1552 b=4.1552 c=10.4045 alpha=101.52 beta=101.52 gamma=90.00
With the nearest neighbours (Å) after each atom.
Atoms (fractional coordinates):
Pd: 0.6038 0.1038 0.2076  2 As 2.50
Pd: 0.2500 0.7500 0.5000  4 As 2.58
Pd: 0.8962 0.3962 0.7924  2 As 2.50
Pd: 0.7500 0.2500 0.5000  4 As 2.58
Pd: 0.1038 0.6038 0.2076  2 As 2.50
Pd: 0.3962 0.8962 0.7924  2 As 2.50
Pd: 0.5000 0.5000 0.0000  8 Pd 2.93, 4 Te 2.94
Te: 0.0000 0.0000 0.0000  12 Pd 2.93-2.94
As: 0.6733 0.6733 0.3467  8 Pd 2.50-2.58
As: 0.3267 0.3267 0.6533  8 Pd 2.50-2.58